1.
# NbIBr2Cl2 PBE relaxed
data_NbIBr2Cl2
_chemical_formula_sum 'Nb2 I2 Br4 Cl4'
_cell_length_a 6.849
_cell_length_b 7.408
_cell_length_c 9.865
_cell_angle_alpha 109.57
_cell_angle_beta 90.57
_cell_angle_gamma 114.27
_symmetry_space_group_name_H-M 'P -1'
_symmetry_Int_Tables_number 2
_symmetry_space_group_name_Hall '-P 1'
loop_
_atom_site_label
_atom_site_fract_x
_atom_site_fract_y
_atom_site_fract_z
Nb1 0.099 0.208 0.210
I1 0.448 0.579 0.324
Br1 0.074 0.817 0.577
Br2 0.296 0.001 0.237
Cl1 0.110 0.644 0.858
Cl2 0.210 0.157 0.955
# * size of the total moment: 0.01 μB/cell
# * calculated total energy: -4.02 eV/atom



2.
# NbI2Br2Cl PBE relaxed
data_NbI2Br2Cl
_chemical_formula_sum 'Nb2 I4 Br4 Cl2'
_cell_length_a 7.083
_cell_length_b 7.644
_cell_length_c 10.191
_cell_angle_alpha 109.98
_cell_angle_beta 91.67
_cell_angle_gamma 114.54
_symmetry_space_group_name_H-M 'P -1'
_symmetry_Int_Tables_number 2
_symmetry_space_group_name_Hall '-P 1'
loop_
_atom_site_label
_atom_site_fract_x
_atom_site_fract_y
_atom_site_fract_z
Nb1 0.100 0.207 0.206
I1 0.078 0.817 0.569
I2 0.446 0.572 0.322
Br1 0.116 0.637 0.860
Br2 0.290 0.007 0.237
Cl1 0.203 0.154 0.960
# * size of the total moment: 0.01 μB/cell
# * calculated total energy: -3.80 eV/atom



3.
# NbI3BrCl PBE relaxed
data_NbI3BrCl
_chemical_formula_sum 'Nb2 I6 Br2 Cl2'
_cell_length_a 7.004
_cell_length_b 7.594
_cell_length_c 10.658
_cell_angle_alpha 108.39
_cell_angle_beta 93.00
_cell_angle_gamma 112.51
_symmetry_space_group_name_H-M 'P -1'
_symmetry_Int_Tables_number 2
_symmetry_space_group_name_Hall '-P 1'
loop_
_atom_site_label
_atom_site_fract_x
_atom_site_fract_y
_atom_site_fract_z
Nb1 0.104 0.220 0.220
I1 0.082 0.814 0.572
I2 0.236 0.177 0.956
I3 0.445 0.575 0.326
Br1 0.300 0.015 0.249
Cl1 0.102 0.633 0.847
# * size of the total moment: 0.02 μB/cell
# * calculated total energy: -3.70 eV/atom



4.
# NbI2Br2Cl PBE relaxed
data_NbI2Br2Cl
_chemical_formula_sum 'Nb2 I4 Br4 Cl2'
_cell_length_a 6.975
_cell_length_b 7.652
_cell_length_c 10.569
_cell_angle_alpha 108.72
_cell_angle_beta 92.62
_cell_angle_gamma 114.32
_symmetry_space_group_name_H-M 'P -1'
_symmetry_Int_Tables_number 2
_symmetry_space_group_name_Hall '-P 1'
loop_
_atom_site_label
_atom_site_fract_x
_atom_site_fract_y
_atom_site_fract_z
Nb1 0.110 0.225 0.223
I1 0.084 0.818 0.571
I2 0.243 0.179 0.957
Br1 0.104 0.617 0.849
Br2 0.437 0.556 0.322
Cl1 0.290 0.034 0.247
# * size of the total moment: 0.02 μB/cell
# * calculated total energy: -3.81 eV/atom



Going through the records in order, we get excess energy over the best structure of this formula in the dataset values of 0.02, 0.03, 0.00, 0.00 eV per formula unit.